1.
Below is NpTa2Rh after structural relaxation, with properties calculated at the GGA-PBE level.

As for the formation energy: 0.027 eV/atom. As for the raw total energy: -0.4032 Ha/atom. The density comes out at 16.25 g cm⁻³.

Cell: 2.883 2.883 8.626 Å, 90.00 90.00 90.00°
Space group P4/mmm (No. 123)
Asymmetric unit:
Np 0.000 0.000 0.000 [1 per cell]
Ta 0.500 0.500 0.278 [2 per cell]
Rh 0.000 0.000 0.500 [1 per cell]


2.
Below is NpTaRh after structural relaxation, with properties calculated at the GGA-PBE level.

As for the formation energy: -0.087 eV/atom. As for the raw total energy: -0.3970 Ha/atom. The density comes out at 16.35 g cm⁻³.

Cell: 6.135 4.088 8.436 Å, 90.00 90.00 90.00°
Space group Pnma (No. 62)
Asymmetric unit:
Np 0.091 0.250 0.045 [4 per cell]
Ta 0.124 0.250 0.728 [4 per cell]
Rh 0.089 0.250 0.395 [4 per cell]


3.
Below is NpTa2Rh after structural relaxation, with properties calculated at the GGA-PBE level.

As for the formation energy: 0.041 eV/atom. As for the raw total energy: -0.4027 Ha/atom. The density comes out at 16.51 g cm⁻³.

Cell: 4.881 4.881 2.963 Å, 90.00 90.00 90.00°
Space group P4/mmm (No. 123)
Asymmetric unit:
Np 0.000 0.000 0.000 [1 per cell]
Ta 0.000 0.500 0.500 [2 per cell]
Rh 0.500 0.500 0.000 [1 per cell]


4.
Below is NpTaRh2 after structural relaxation, with properties calculated at the GGA-PBE level.

As for the formation energy: -0.297 eV/atom. As for the raw total energy: -0.3738 Ha/atom. The density comes out at 14.82 g cm⁻³.

Cell: 2.974 2.974 7.906 Å, 90.00 90.00 90.00°
Space group P4/mmm (No. 123)
Asymmetric unit:
Np 0.000 0.000 0.000 [1 per cell]
Ta 0.000 0.000 0.500 [1 per cell]
Rh 0.500 0.500 0.277 [2 per cell]


5.
Below is Tb3NpRh8 after structural relaxation, with properties calculated at the GGA-PBE level.

As for the formation energy: -0.623 eV/atom. As for the raw total energy: -0.2852 Ha/atom. The density comes out at 11.87 g cm⁻³.

Cell: 5.3381 5.3381 26.1493 Å, 90.00 90.00 120.00°
Space group R3m (No. 160, hexagonal axes)
Asymmetric unit:
Tb 0.0000 0.0000 0.0000 [3 per cell]
Tb 0.0000 0.0000 0.1255 [3 per cell]
Tb 0.0000 0.0000 0.5004 [3 per cell]
Np 0.0000 0.0000 0.6248 [3 per cell]
Rh 0.0000 0.0000 0.3127 [3 per cell]
Rh 0.0000 0.0000 0.8127 [3 per cell]
Rh 0.0013 0.5007 0.5634 [9 per cell]
Rh 0.1675 0.3350 0.3954 [9 per cell]


6.
Below is TbNpRh4 after structural relaxation, with properties calculated at the GGA-PBE level.

As for the formation energy: -0.509 eV/atom. As for the raw total energy: -0.3064 Ha/atom. The density comes out at 12.52 g cm⁻³.

Cell: 7.538 7.538 7.538 Å, 90.00 90.00 90.00°
Space group F-43m (No. 216)
Asymmetric unit:
Tb 0.000 0.000 0.000 [4 per cell]
Np 0.250 0.250 0.250 [4 per cell]
Rh 0.125 0.125 0.625 [16 per cell]


7.
Below is Np2TcRh after structural relaxation, with properties calculated at the GGA-PBE level.

As for the formation energy: -0.012 eV/atom. As for the raw total energy: -0.4010 Ha/atom. The density comes out at 14.48 g cm⁻³.

Cell: 3.425 3.425 6.600 Å, 90.00 90.00 90.00°
Space group P4/mmm (No. 123)
Asymmetric unit:
Np 0.000 0.000 0.249 [2 per cell]
Tc 0.500 0.500 0.500 [1 per cell]
Rh 0.500 0.500 0.000 [1 per cell]


8.
Below is Np2TcRh after structural relaxation, with properties calculated at the GGA-PBE level.

As for the formation energy: 0.015 eV/atom. As for the raw total energy: -0.4000 Ha/atom. The density comes out at 14.52 g cm⁻³.

Cell: 6.759 6.759 6.759 Å, 90.00 90.00 90.00°
Space group Fm-3m (No. 225)
Asymmetric unit:
Np 0.250 0.250 0.250 [8 per cell]
Tc 0.000 0.000 0.000 [4 per cell]
Rh 0.000 0.000 0.500 [4 per cell]